1.
! NpVMo2 (PBE, optimized geometry); values from VASP
&SYSTEM
  ibrav = 0, nat = 4, ntyp = 3
/
ATOMIC_SPECIES
Np 237.00 Np.upf
V 50.94 V.upf
Mo 95.94 Mo.upf
CELL_PARAMETERS angstrom
0.000 3.208 3.208
3.208 0.000 3.208
3.208 3.208 0.000
ATOMIC_POSITIONS angstrom
Np 0.000 0.000 0.000
V 3.208 3.208 3.208
Mo 1.604 1.604 1.604
Mo 4.812 4.812 4.812
! ΔH_f (0 K), eV/atom: 0.237
! Calculated density, Mg/m³: 12.07
! Calculated volume, A^3/atom: 16.5
! Spin magnetization, μB per formula unit: 2.208
! Symmetry: Fm-3m (225)
! Energy above the most stable polymorph in this dataset, meV/atom: 0
! Density of states at the Fermi level, states/eV/f.u.: 9.78

=====

2.
! FeReS2 (PBE, optimized geometry); values from VASP
&SYSTEM
  ibrav = 0, nat = 8, ntyp = 3
/
ATOMIC_SPECIES
Fe 55.84 Fe.upf
Re 186.21 Re.upf
S 32.06 S.upf
CELL_PARAMETERS angstrom
-2.548 2.548 5.066
2.548 -2.548 5.066
2.548 2.548 -5.066
ATOMIC_POSITIONS angstrom
Fe 0.000 0.000 0.000
Fe 0.000 2.548 2.533
Re 2.548 0.000 2.533
Re 0.000 0.000 5.066
S 3.822 1.171 -1.266
S 1.171 1.274 1.266
S -1.274 1.377 3.799
S 1.377 1.274 6.332
! Calculated density, Mg/m³: 7.73
! Calculated volume, A^3/atom: 16.4
! Spin magnetization, μB per formula unit: 0.000
! Symmetry: I-42d (122)
! Energy above the most stable polymorph in this dataset, meV/atom: 0
! Density of states at the Fermi level, states/eV/f.u.: 1.96